Entry from the Alexandria database: a relaxed UGa2Ir2 crystal (PBE).

Computed properties:
Symmetry ... I4/mmm, No. 139
Total energy ... -7.427 eV per atom

a = 3.8457 Å, b = 3.8457 Å, c = 6.7054 Å
α = 106.66°, β = 106.66°, γ = 90.00°
Site moments in Bohr magnetons follow the coordinates.
Sites, in units of the cell vectors:
Ga 0.7500 0.2500 0.5000  0.02
Ga 0.2500 0.7500 0.5000  0.02
U 0.0000 0.0000 0.0000  1.88
Ir 0.3943 0.3943 0.7885  -0.05
Ir 0.6057 0.6057 0.2115  -0.05